Material: Cr2MoAs
Method: DFT, GGA-PBE
State: relaxed

The space group is Pmm2 (No. 25) and the conventional cell measures 2.8578, 3.9412 and 4.8521 Å, with angles of 90.00, 90.00 and 90.00 degrees. The distinct sites, in fractional coordinates, are Cr at (0.0000, 0.0000, 0.0000), Cr at (0.5000, 0.5000, 0.2493), Mo at (0.0000, 0.0000, 0.4950) and As at (0.5000, 0.5000, 0.7600).

The total DFT energy (no corrections) comes out at -0.6247 Ry per atom. The value obtained for the total magnetization is 0.00 μB per formula unit. The calculated density comes out at 8.35 g cm⁻³. The calculated formation energy comes out at 181.9 meV/atom.

Material: SmGeBr2
Method: DFT, GGA-PBE
State: relaxed

The space group is R-3m (No. 166, hexagonal axes) and the conventional cell measures 3.7024, 3.7024 and 30.8688 Å, with angles of 90.00, 90.00 and 120.00 degrees. The distinct sites, in fractional coordinates, are Sm at (0.0000, 0.0000, 0.0000), Ge at (0.0000, 0.0000, 0.5000) and Br at (0.0000, 0.0000, 0.0905).

The total DFT energy (no corrections) comes out at -0.2556 Ry per atom. The value obtained for the total magnetization is 0.00 μB per formula unit. The calculated density comes out at 5.20 g cm⁻³. As for the raw formation energy: -0.307 eV/atom.

Material: SiPN3
Method: DFT, GGA-PBE
State: relaxed

The space group is P2_1 (No. 4) and the conventional cell measures 5.2942, 4.7055 and 5.2990 Å, with angles of 90.00, 119.72 and 90.00 degrees. The distinct sites, in fractional coordinates, are Si at (0.1751, 0.0000, 0.1755), P at (0.1639, 0.5076, 0.4913), N at (0.0660, 0.1622, 0.4128), N at (0.0677, 0.6466, 0.1662) and N at (0.4823, 0.5667, 0.7245).

The total DFT energy (no corrections) comes out at -0.5749 Ry per atom. The value obtained for the total magnetization is 0.00 μB per formula unit. The calculated density comes out at 2.93 g cm⁻³. As for the raw formation energy: -0.660 eV/atom.